Compound: Ta4TcW
Source: the Alexandria database
Functional: GGA-PBE
Structure: relaxed

The structure in extended XYZ format:
```
12
Lattice="-5.452 2.982 0.421 -2.785 -5.351 1.550 5.215 2.357 5.081" Properties=species:S:1:pos:R:3 pbc="T T T"
Ta -0.575 -1.800 5.310
Ta -2.448 1.787 1.742
Ta -3.841 -0.888 2.518
Ta -1.115 -2.378 2.306
Ta -3.302 -0.310 5.521
Ta -1.908 2.365 4.746
Ta 0.819 0.875 4.535
Ta 0.279 0.297 1.532
W -3.452 -3.268 1.268
W -4.785 0.899 0.703
Tc 2.607 1.178 2.541
Tc -1.511 -0.006 3.526
```

**Symmetry**: P2/m, No. 10
**Energy above the lowest structure with this stoichiometry**: 0.722 eV per atom



Compound: La8Tm
Source: the Alexandria database
Functional: GGA-PBE
Structure: relaxed

The structure in extended XYZ format:
```
9
Lattice="5.260 0.000 0.000 2.630 7.837 0.000 2.630 0.000 7.837" Properties=species:S:1:pos:R:3 pbc="T T T"
La 2.630 5.240 2.597
La 2.630 0.000 2.600
La 2.630 2.597 5.240
La 5.260 5.240 5.240
La 5.260 0.000 5.237
La 5.260 5.237 0.000
La 5.260 2.597 2.597
La 2.630 2.600 0.000
Tm 0.000 0.000 0.000
```

**Symmetry**: I4/mmm, No. 139



Number 1: E_tot -11.30 eV/atom, magnetic moment 0.0 μB/cell, ΔH_f (0 K) 0.487 eV per atom. Number 2: E_tot -4.86 eV/atom, magnetic moment 0.0 μB/cell, ΔH_f (0 K) 0.013 eV per atom.